# 1
VASP calculation (GGA-PBE) on Ti7CoRh2 after structural relaxation.

abc: 8.8728 8.8728 8.8728
angles: 90.00 90.00 90.00
Last column: nearest neighbours and their distance in Å.
Space group Fm-3m (No. 225)
Asymmetric unit:
Ti (0.0000, 0.0000, 0.0000) (multiplicity 4)  6 Ti 2.25
Ti (0.0000, 0.0000, 0.2538) (multiplicity 24)  1 Co 2.18, 1 Ti 2.25
Co (0.0000, 0.0000, 0.5000) (multiplicity 4)  6 Ti 2.18
Rh (0.2500, 0.2500, 0.2500) (multiplicity 8)  12 Ti 3.14

Values from the calculation:
Total magnetization = 0.000 μB per atom
DOS at the Fermi energy = 16.6 states/eV/f.u.
Calculated formation energy = 0.553 eV/atom



# 2
VASP calculation (GGA-PBE) on LaSmDy2As4 after structural relaxation.

abc: 7.2836 4.2110 7.2894
angles: 90.00 109.46 90.00
Last column: nearest neighbours and their distance in Å.
Space group P2/m (No. 10)
Asymmetric unit:
La (0.0000, 0.0000, 0.0000) (multiplicity 1)  6 As 3.03
Sm (0.0000, 0.5000, 0.5000) (multiplicity 1)  6 As 3.00
Dy (0.5000, 0.0000, 0.5000) (multiplicity 1)  6 As 2.92
Dy (0.5000, 0.5000, 0.0000) (multiplicity 1)  6 As 2.95
As (0.2583, 0.0000, 0.7495) (multiplicity 2)  3 Dy 2.92-2.95, 2 Sm 3.00, 1 La 3.03
As (0.2610, 0.5000, 0.2570) (multiplicity 2)  3 Dy 2.92-2.95, 1 Sm 3.00, 2 La 3.03

Values from the calculation:
Total magnetization = 0.000 μB per atom
DOS at the Fermi energy = 0.8 states/eV/f.u.
Calculated formation energy = -1.534 eV/atom



# 3
VASP calculation (GGA-PBE) on Pm6ErTmSc2 after structural relaxation.

abc: 9.0359 14.9972 9.4922
angles: 90.00 98.21 90.00
Last column: nearest neighbours and their distance in Å.
Space group C2/c (No. 15)
Asymmetric unit:
Pm (0.0626, 0.1745, 0.4477) (multiplicity 8)  1 Sc 3.37, 7 Pm 3.38-3.76, 2 Tm 3.57-3.72
Pm (0.0987, 0.3970, 0.6183) (multiplicity 8)  3 Sc 3.20-3.38, 3 Pm 3.27-3.38, 2 Er 3.35-3.49
Pm (0.2136, 0.2254, 0.8161) (multiplicity 8)  4 Pm 3.27-3.65, 1 Er 3.40, 2 Sc 3.42-3.62, 1 Tm 3.54
Er (0.0000, 0.4084, 0.2500) (multiplicity 4)  6 Pm 3.35-3.49, 2 Sc 3.48
Tm (0.0000, 0.0279, 0.7500) (multiplicity 4)  4 Sc 3.35, 6 Pm 3.54-3.72
Sc (0.2466, 0.0491, 0.0476) (multiplicity 8)  5 Pm 3.20-3.42, 2 Tm 3.35, 1 Er 3.48

Values from the calculation:
Total magnetization = 0.000 μB per atom
DOS at the Fermi energy = 15.6 states/eV/f.u.
Calculated formation energy = 0.125 eV/atom



# 4
VASP calculation (GGA-PBE) on Nd4Y2Ho after structural relaxation.

abc: 6.1883 13.0863 6.0374
angles: 90.00 90.00 90.00
Last column: nearest neighbours and their distance in Å.
Space group Cmmm (No. 65)
Asymmetric unit:
Nd (0.0000, 0.1369, 0.0000) (multiplicity 4)  3 Y 3.11-3.28
Nd (0.0000, 0.3077, 0.5000) (multiplicity 4)  2 Y 3.19, 2 Nd 3.44
Y (0.0000, 0.3873, 0.0000) (multiplicity 4)  1 Y 2.95, 5 Nd 3.11-3.28
Ho (0.0000, 0.0000, 0.5000) (multiplicity 2)  4 Nd 3.51

Values from the calculation:
Total magnetization = 0.000 μB per atom
Energy above the lowest structure with this stoichiometry = 278.0 meV/atom
DOS at the Fermi energy = 12.1 states/eV/f.u.
Calculated formation energy = 0.479 eV/atom



# 5
VASP calculation (GGA-PBE) on Pr6ScCd after structural relaxation.

abc: 5.0393 5.0393 10.2032
angles: 90.00 90.00 90.00
Last column: nearest neighbours and their distance in Å.
Space group P4/mmm (No. 123)
Asymmetric unit:
Pr (0.0000, 0.0000, 0.0000) (multiplicity 1)  4 Sc 3.56, 8 Pr 3.58
Pr (0.0000, 0.0000, 0.5000) (multiplicity 1)  4 Cd 3.56, 8 Pr 3.59
Pr (0.0000, 0.5000, 0.2498) (multiplicity 4)  8 Pr 3.56-3.59, 2 Sc 3.58, 2 Cd 3.59
Sc (0.5000, 0.5000, 0.0000) (multiplicity 1)  12 Pr 3.56-3.58
Cd (0.5000, 0.5000, 0.5000) (multiplicity 1)  12 Pr 3.56-3.59

Values from the calculation:
Total magnetization = 0.000 μB per atom
Energy above the lowest structure with this stoichiometry = 0.0 meV/atom
DOS at the Fermi energy = 10.5 states/eV/f.u.
Calculated formation energy = -0.036 eV/atom



# 6
VASP calculation (GGA-PBE) on PrDy2Ho2Tm2 after structural relaxation.

abc: 11.1824 5.0184 7.9354
angles: 90.00 98.18 90.00
Last column: nearest neighbours and their distance in Å.
Space group C2/m (No. 12)
Asymmetric unit:
Pr (0.0000, 0.0000, 0.0000) (multiplicity 2)  6 Tm 3.54-3.55, 4 Ho 3.56, 2 Dy 3.56
Dy (0.1428, 0.0000, 0.4306) (multiplicity 4)  3 Tm 3.52-3.55, 3 Dy 3.52-3.54, 5 Ho 3.53-3.55, 1 Pr 3.56
Ho (0.0720, 0.5000, 0.7133) (multiplicity 4)  5 Dy 3.53-3.55, 1 Ho 3.54, 4 Tm 3.54-3.56, 2 Pr 3.56
Tm (0.2144, 0.5000, 0.1441) (multiplicity 4)  3 Dy 3.52-3.55, 4 Ho 3.54-3.56, 3 Pr 3.54-3.55, 2 Tm 3.56

Values from the calculation:
Total magnetization = 0.000 μB per atom
DOS at the Fermi energy = 9.4 states/eV/f.u.
Calculated formation energy = 0.023 eV/atom



# 7
VASP calculation (GGA-PBE) on LaZnAu3 after structural relaxation.

abc: 6.3367 7.3491 5.0956
angles: 90.00 90.00 90.00
Last column: nearest neighbours and their distance in Å.
Space group Pbam (No. 55)
Asymmetric unit:
La (0.0000, 0.0000, 0.0000) (multiplicity 2)  6 Au 3.10-3.17
Zn (0.0000, 0.5000, 0.5000) (multiplicity 2)  6 Au 2.51-2.55
Au (0.0000, 0.5000, 0.0000) (multiplicity 2)  2 Zn 2.55
Au (0.1707, 0.1907, 0.5000) (multiplicity 4)  2 Zn 2.51-2.52

Values from the calculation:
Total magnetization = 0.000 μB per atom
Energy above the lowest structure with this stoichiometry = 220.9 meV/atom
DOS at the Fermi energy = 2.3 states/eV/f.u.
Calculated formation energy = -0.371 eV/atom



# 8
VASP calculation (GGA-PBE) on CaScTlSn after structural relaxation.

abc: 7.4543 7.4543 7.4543
angles: 90.00 90.00 90.00
Last column: nearest neighbours and their distance in Å.
Space group F-43m (No. 216)
Asymmetric unit:
Ca (0.0000, 0.0000, 0.0000) (multiplicity 4)  4 Sn 3.23, 4 Tl 3.23
Sc (0.0000, 0.0000, 0.5000) (multiplicity 4)  4 Tl 3.23, 4 Sn 3.23
Tl (0.2500, 0.2500, 0.2500) (multiplicity 4)  4 Ca 3.23, 4 Sc 3.23
Sn (0.2500, 0.2500, 0.7500) (multiplicity 4)  4 Ca 3.23, 4 Sc 3.23

Values from the calculation:
Total magnetization = 0.000 μB per atom
DOS at the Fermi energy = 2.6 states/eV/f.u.
Calculated formation energy = -0.395 eV/atom



Q: Look up the calculated formation energy of the first one.
A: 0.553 eV/atom